! PBE SmEr5Tm, relaxed; values from VASP
! Space-group type   P2_1/m, No. 11
! Size of the total moment   0.00 μB/f.u.
! Calculated density   8.8 g/cm³
! Total energy   -4.507 eV/atom
! ΔH_f (0 K)   0.45 eV/f.u.
&SYSTEM
  ibrav = 0, nat = 14, ntyp = 3
/
ATOMIC_SPECIES
Sm 150.36 Sm.upf
Er 167.26 Er.upf
Tm 168.93 Tm.upf
CELL_PARAMETERS angstrom
3.568 0.000 0.000
0.000 9.099 -1.270
0.000 -1.260 13.667
ATOMIC_POSITIONS angstrom
Sm 2.676 0.799 1.573
Sm 0.892 7.040 10.823
Er 0.892 -0.457 5.112
Er 2.676 0.752 11.792
Er 2.676 2.326 6.551
Er 0.892 3.679 0.555
Er 0.892 2.272 9.444
Er 2.676 5.567 2.953
Er 2.676 4.160 11.841
Er 0.892 5.513 5.846
Er 0.892 7.086 0.604
Er 2.676 8.296 7.284
Tm 0.892 2.754 3.743
Tm 2.676 5.085 8.654

! PBE LiPu2Np, relaxed; values from VASP
! Space-group type   R-3m, No. 166
! Size of the total moment   13.44 μB/f.u.
! Calculated density   13.1 g/cm³
! Total energy   -10.462 eV/atom
! ΔH_f (0 K)   1.67 eV/f.u.
&SYSTEM
  ibrav = 0, nat = 4, ntyp = 3
/
ATOMIC_SPECIES
Np 237.00 Np.upf
Li 6.94 Li.upf
Pu 244.00 Pu.upf
CELL_PARAMETERS angstrom
3.170 0.000 0.000
1.585 2.746 0.000
1.585 0.915 10.662
ATOMIC_POSITIONS angstrom
Np 0.000 0.000 0.000
Li 3.170 1.830 5.331
Pu 4.756 2.746 8.155
Pu 1.585 0.915 2.507

! PBE MnIr3Rh, relaxed; values from VASP
! Space-group type   Cm, No. 8
! Size of the total moment   2.37 μB/f.u.
! Calculated density   17.3 g/cm³
! Total energy   -8.707 eV/atom
! ΔH_f (0 K)   -0.43 eV/f.u.
&SYSTEM
  ibrav = 0, nat = 10, ntyp = 3
/
ATOMIC_SPECIES
Mn 54.94 Mn.upf
Ir 192.22 Ir.upf
Rh 102.91 Rh.upf
CELL_PARAMETERS angstrom
3.800 0.262 0.534
0.089 4.567 -2.896
0.784 0.216 8.137
ATOMIC_POSITIONS angstrom
Mn 1.880 1.781 6.490
Mn 2.755 1.198 0.577
Ir 4.044 4.672 3.524
Ir 2.805 3.474 -0.907
Ir 2.291 0.357 4.272
Ir 1.914 4.109 5.096
Ir 0.629 0.655 2.107
Ir 2.342 2.630 2.800
Rh 0.676 2.905 0.668
Rh 4.007 2.339 4.944

! PBE Y2Zn4AgAu3, relaxed; values from VASP
! Space-group type   P-4m2, No. 115
! Size of the total moment   0.00 μB/f.u.
! Calculated density   9.5 g/cm³
! Total energy   -3.518 eV/atom
! ΔH_f (0 K)   -4.47 eV/f.u.
&SYSTEM
  ibrav = 0, nat = 10, ntyp = 4
/
ATOMIC_SPECIES
Y 88.91 Y.upf
Zn 65.41 Zn.upf
Ag 107.87 Ag.upf
Au 196.97 Au.upf
CELL_PARAMETERS angstrom
-0.247 1.003 3.950
-1.416 -3.732 0.859
11.130 -3.839 1.670
ATOMIC_POSITIONS angstrom
Y 2.639 -0.451 2.389
Y 7.660 -4.752 1.685
Zn -0.831 -1.364 2.404
Zn 0.000 0.000 0.000
Zn 7.008 -1.958 3.045
Zn 3.291 -3.245 1.029
Ag 4.734 -3.284 3.239
Au 5.565 -1.919 0.835
Au 9.385 -2.778 3.401
Au 0.914 -2.425 0.673

! PBE K6Cd2Au, relaxed; values from VASP
! Space-group type   Immm, No. 71
! Size of the total moment   0.00 μB/f.u.
! Calculated density   2.7 g/cm³
! Total energy   -1.370 eV/atom
! ΔH_f (0 K)   -0.64 eV/f.u.
&SYSTEM
  ibrav = 0, nat = 18, ntyp = 3
/
ATOMIC_SPECIES
K 39.10 K.upf
Cd 112.41 Cd.upf
Au 196.97 Au.upf
CELL_PARAMETERS angstrom
-10.211 -0.061 0.430
3.589 -9.314 2.196
-2.704 -2.840 9.438
ATOMIC_POSITIONS angstrom
K 0.794 -7.261 2.477
K -10.120 -4.953 9.587
K -2.407 -3.968 6.160
K -6.919 -8.246 5.904
K -5.940 -4.748 8.333
K -3.386 -7.466 3.732
K -0.243 -3.016 2.485
K -9.083 -9.198 9.579
K -3.895 -1.365 2.825
K -5.431 -10.850 9.239
K -3.204 -7.697 8.356
K -6.122 -4.517 3.708
Cd -0.371 -7.228 6.140
Cd -8.955 -4.986 5.924
Cd -5.530 -1.794 6.047
Cd -7.385 -1.107 3.821
Au -3.311 -4.687 1.313
Au 0.000 0.000 0.000

! PBE KGaBr4, relaxed; values from VASP
! Formation energy (no corrections)   -1185 meV/atom
! Space-group type   P2_1/c, No. 14
! Size of the total moment   0.00 μB/f.u.
! Calculated density   3.0 g/cm³
! Total energy   -2.987 eV/atom
&SYSTEM
  ibrav = 0, nat = 24, ntyp = 3
/
ATOMIC_SPECIES
K 39.10 K.upf
Ga 69.72 Ga.upf
Br 79.90 Br.upf
CELL_PARAMETERS angstrom
8.549 0.179 0.000
-2.160 10.614 0.000
0.000 0.000 10.449
ATOMIC_POSITIONS angstrom
K 2.850 1.892 8.614
K 0.344 3.505 3.390
K 6.045 7.289 7.060
K 3.538 8.902 1.835
Ga 7.095 2.426 8.656
Ga 4.648 3.150 3.431
Ga 1.741 7.644 7.018
Ga -0.707 8.368 1.793
Br 5.903 0.483 9.315
Br -0.190 1.683 6.735
Br 6.287 1.495 2.995
Br 3.106 2.383 5.048
Br 5.456 4.081 8.220
Br 0.088 3.014 10.273
Br 3.385 3.714 1.510
Br 5.840 5.093 4.091
Br 0.549 5.700 6.359
Br 3.004 7.080 8.939
Br 6.301 7.779 0.176
Br 0.933 6.712 2.230
Br 3.282 8.411 5.401
Br 0.101 9.299 7.454
Br 6.579 9.111 3.714
Br 0.485 10.311 1.134

! PBE GaRe2I, relaxed; values from VASP
! Formation energy (no corrections)   1859 meV/atom
! Space-group type   I-42d, No. 122
! Size of the total moment   0.00 μB/f.u.
! Calculated density   9.7 g/cm³
! Total energy   -5.510 eV/atom
&SYSTEM
  ibrav = 0, nat = 8, ntyp = 3
/
ATOMIC_SPECIES
I 126.90 I.upf
Re 186.21 Re.upf
Ga 69.72 Ga.upf
CELL_PARAMETERS angstrom
-1.148 -4.532 3.472
0.821 -3.636 -4.475
5.394 -4.470 0.832
ATOMIC_POSITIONS angstrom
I 0.000 0.000 0.000
I 2.041 -6.543 1.901
Re 0.751 -4.335 1.765
Re 1.700 -4.026 -2.101
Re 3.935 -6.471 0.179
Re 3.747 -10.444 -0.185
Ga -0.164 -4.084 -0.501
Ga 3.026 -6.095 -2.072

! PBE NpGeAu2, relaxed; values from VASP
! Space-group type   P4/mmm, No. 123
! Size of the total moment   4.28 μB/f.u.
! Calculated density   14.2 g/cm³
! Total energy   -6.047 eV/atom
! ΔH_f (0 K)   -0.08 eV/f.u.
&SYSTEM
  ibrav = 0, nat = 4, ntyp = 3
/
ATOMIC_SPECIES
Np 237.00 Np.upf
Ge 72.64 Ge.upf
Au 196.97 Au.upf
CELL_PARAMETERS angstrom
3.212 0.000 0.000
0.000 3.212 0.000
0.000 0.000 7.946
ATOMIC_POSITIONS angstrom
Np 1.606 1.606 3.973
Ge 1.606 1.606 0.000
Au 0.000 0.000 6.132
Au 0.000 0.000 1.814

! PBE HgGeBrF6, relaxed; values from VASP
! Formation energy (no corrections)   -1727 meV/atom
! Space-group type   P1, No. 1
! Size of the total moment   1.05 μB/f.u.
! Calculated density   4.8 g/cm³
! Total energy   -3.707 eV/atom
&SYSTEM
  ibrav = 0, nat = 9, ntyp = 4
/
ATOMIC_SPECIES
Hg 200.59 Hg.upf
Ge 72.64 Ge.upf
Br 79.90 Br.upf
F 19.00 F.upf
CELL_PARAMETERS angstrom
5.653 0.804 -0.214
3.439 5.778 -0.924
-0.190 -0.793 5.564
ATOMIC_POSITIONS angstrom
Hg 5.646 3.884 3.010
Ge 2.947 1.828 2.218
Br 4.267 5.358 -0.747
F 6.878 3.178 1.338
F 2.098 0.436 3.025
F 4.536 1.442 2.963
F 2.420 2.868 3.716
F 3.658 3.310 1.469
F 3.159 0.850 0.710

! PBE TbHoBi, relaxed; values from VASP
! Space-group type   I4mm, No. 107
! Size of the total moment   0.74 μB/f.u.
! Calculated density   8.6 g/cm³
! Total energy   -4.197 eV/atom
! ΔH_f (0 K)   0.50 eV/f.u.
&SYSTEM
  ibrav = 0, nat = 3, ntyp = 3
/
ATOMIC_SPECIES
Tb 158.93 Tb.upf
Bi 208.98 Bi.upf
Ho 164.93 Ho.upf
CELL_PARAMETERS angstrom
-1.976 1.211 2.456
1.898 -1.578 2.304
5.285 7.435 -1.736
ATOMIC_POSITIONS angstrom
Tb 1.447 2.000 0.178
Bi 2.769 3.698 2.725
Ho 4.624 6.262 2.953

! PBE La3Al3Ir2, relaxed; values from VASP
! Space-group type   Pnma, No. 62
! Size of the total moment   0.00 μB/f.u.
! Calculated density   7.8 g/cm³
! Total energy   -6.172 eV/atom
! ΔH_f (0 K)   -5.64 eV/f.u.
&SYSTEM
  ibrav = 0, nat = 32, ntyp = 3
/
ATOMIC_SPECIES
La 138.91 La.upf
Al 26.98 Al.upf
Ir 192.22 Ir.upf
CELL_PARAMETERS angstrom
5.947 0.000 0.000
0.000 8.113 0.000
0.000 0.000 15.496
ATOMIC_POSITIONS angstrom
La 0.553 3.830 6.080
La 3.526 0.227 9.416
La 5.394 4.283 13.829
La 2.421 7.886 1.668
La 5.394 4.283 9.416
La 2.421 7.886 6.080
La 0.553 3.830 1.668
La 3.526 0.227 13.829
La 3.559 2.707 3.874
La 0.585 1.349 11.622
La 2.388 5.406 11.622
La 5.361 6.763 3.874
Al 0.489 1.473 3.874
Al 3.462 2.584 11.622
Al 5.458 6.640 11.622
Al 2.485 5.529 3.874
Al 3.514 2.832 7.187
Al 0.541 1.224 8.309
Al 2.433 5.281 14.936
Al 5.406 6.888 0.561
Al 2.433 5.281 8.309
Al 5.406 6.888 7.187
Al 3.514 2.832 0.561
Al 0.541 1.224 14.936
Ir 5.138 1.145 6.153
Ir 2.165 2.911 9.343
Ir 0.809 6.967 13.902
Ir 3.782 5.202 1.595
Ir 0.809 6.967 9.343
Ir 3.782 5.202 6.153
Ir 5.138 1.145 1.595
Ir 2.165 2.911 13.902

! PBE Er3Te, relaxed; values from VASP
! Formation energy (no corrections)   -331 meV/atom
! Space-group type   Pmm2, No. 25
! Size of the total moment   0.90 μB/f.u.
! Calculated density   8.0 g/cm³
! Total energy   -4.538 eV/atom
&SYSTEM
  ibrav = 0, nat = 4, ntyp = 2
/
ATOMIC_SPECIES
Te 127.60 Te.upf
Er 167.26 Er.upf
CELL_PARAMETERS angstrom
3.721 0.000 0.000
0.000 3.752 0.000
0.000 0.000 9.323
ATOMIC_POSITIONS angstrom
Te 0.000 0.000 9.207
Er 0.000 1.876 4.415
Er 1.861 1.876 1.435
Er 1.861 0.000 6.697

- The highest calculated density belongs to which entry?
  MnIr3Rh